1.
Below is crystalline La3Pr4Co2 at its relaxed geometry, with properties calculated at the PBE-GGA level.

formation energy: -0.031 eV per atom
DFT total energy: -96.78 eV for the cell shown

The structure in CIF format:
```
data_La3Pr4Co2
_symmetry_space_group_name_H-M 'C 1 2/m 1'
_symmetry_Int_Tables_number 12
_symmetry_space_group_name_Hall '-C 2y'
_cell_length_a 17.246
_cell_length_b 3.790
_cell_length_c 9.405
_cell_angle_alpha 90.00
_cell_angle_beta 115.20
_cell_angle_gamma 90.00
loop_
_atom_site_label
_atom_site_type_symbol
_atom_site_fract_x
_atom_site_fract_y
_atom_site_fract_z
La1 La 0.000 0.000 0.000
La2 La 0.070 0.000 0.695
Pr1 Pr 0.141 0.500 0.391
Pr2 Pr 0.226 0.000 0.143
Co1 Co 0.115 0.500 0.927
```

=====

2.
Below is crystalline LaPr5Co3 at its relaxed geometry, with properties calculated at the PBE-GGA level.

formation energy: -0.014 eV per atom
DFT total energy: -100.53 eV for the cell shown

The structure in CIF format:
```
data_LaPr5Co3
_symmetry_space_group_name_H-M 'P 1 2/m 1'
_symmetry_Int_Tables_number 10
_symmetry_space_group_name_Hall '-P 2y'
_cell_length_a 6.540
_cell_length_b 4.147
_cell_length_c 19.685
_cell_angle_alpha 90.00
_cell_angle_beta 90.78
_cell_angle_gamma 90.00
loop_
_atom_site_label
_atom_site_type_symbol
_atom_site_fract_x
_atom_site_fract_y
_atom_site_fract_z
La1 La 0.222 0.000 0.224
Pr1 Pr 0.216 0.000 0.890
Pr2 Pr 0.226 0.000 0.557
Pr3 Pr 0.275 0.500 0.391
Pr4 Pr 0.278 0.500 0.723
Pr5 Pr 0.280 0.500 0.056
Co1 Co 0.000 0.500 0.500
Co2 Co 0.012 0.500 0.170
Co3 Co 0.494 0.000 0.331
Co4 Co 0.500 0.000 0.000
```

=====

3.
Below is crystalline LaPr4Co4 at its relaxed geometry, with properties calculated at the PBE-GGA level.

formation energy: 0.037 eV per atom
DFT total energy: -104.27 eV for the cell shown

The structure in CIF format:
```
data_LaPr4Co4
_symmetry_space_group_name_H-M 'P 42/n'
_symmetry_Int_Tables_number 86
_cell_length_a 8.605
_cell_length_b 8.605
_cell_length_c 5.898
_cell_angle_alpha 90.00
_cell_angle_beta 90.00
_cell_angle_gamma 90.00
loop_
_symmetry_equiv_pos_as_xyz
'x,y,z'
'-x,-y,-z'
'-y,x+1/2,z+1/2'
'y,-x+1/2,-z+1/2'
'-x+1/2,-y+1/2,z'
'x+1/2,y+1/2,-z'
'y+1/2,-x,z+1/2'
'-y+1/2,x,-z+1/2'
loop_
_atom_site_label
_atom_site_type_symbol
_atom_site_fract_x
_atom_site_fract_y
_atom_site_fract_z
La1 La 0.250 0.250 0.250
Pr1 Pr 0.057 0.677 0.133
Co1 Co 0.010 0.613 0.608
```

=====

4.
Below is crystalline La2Pr2Co at its relaxed geometry, with properties calculated at the PBE-GGA level.

formation energy: 0.074 eV per atom
DFT total energy: -104.60 eV for the cell shown

The structure in CIF format:
```
data_La2Pr2Co
_symmetry_space_group_name_H-M 'I m m a'
_symmetry_Int_Tables_number 74
_symmetry_space_group_name_Hall '-I 2b 2'
_cell_length_a 4.077
_cell_length_b 5.890
_cell_length_c 26.563
_cell_angle_alpha 90.00
_cell_angle_beta 90.00
_cell_angle_gamma 90.00
loop_
_atom_site_label
_atom_site_type_symbol
_atom_site_fract_x
_atom_site_fract_y
_atom_site_fract_z
La1 La 0.000 0.250 0.054
La2 La 0.000 0.250 0.692
Pr1 Pr 0.000 0.250 0.185
Pr2 Pr 0.000 0.250 0.572
Co1 Co 0.000 0.250 0.383
```

=====

5.
Below is crystalline La2PrCo at its relaxed geometry, with properties calculated at the PBE-GGA level.

formation energy: -0.086 eV per atom
DFT total energy: -88.34 eV for the cell shown
distance to the lowest polymorph of the same formula: 0 meV per atom

The structure in CIF format:
```
data_La2PrCo
_symmetry_space_group_name_H-M 'P n m a'
_symmetry_Int_Tables_number 62
_symmetry_space_group_name_Hall '-P 2ac 2n'
_cell_length_a 7.135
_cell_length_b 10.110
_cell_length_c 6.516
_cell_angle_alpha 90.00
_cell_angle_beta 90.00
_cell_angle_gamma 90.00
loop_
_atom_site_label
_atom_site_type_symbol
_atom_site_fract_x
_atom_site_fract_y
_atom_site_fract_z
La1 La 0.163 0.072 0.171
Pr1 Pr 0.052 0.250 0.644
Co1 Co 0.107 0.750 0.913
```

=====

6.
Below is crystalline La8PrCo2 at its relaxed geometry, with properties calculated at the PBE-GGA level.

formation energy: -0.022 eV per atom
DFT total energy: -117.31 eV for the cell shown
distance to the lowest polymorph of the same formula: 0 meV per atom

The structure in CIF format:
```
data_La8PrCo2
_symmetry_space_group_name_H-M 'C 1 2/m 1'
_symmetry_Int_Tables_number 12
_symmetry_space_group_name_Hall '-C 2y'
_cell_length_a 15.055
_cell_length_b 7.197
_cell_length_c 6.551
_cell_angle_alpha 90.00
_cell_angle_beta 94.90
_cell_angle_gamma 90.00
loop_
_atom_site_label
_atom_site_type_symbol
_atom_site_fract_x
_atom_site_fract_y
_atom_site_fract_z
La1 La 0.077 0.000 0.331
La2 La 0.131 0.260 0.913
La3 La 0.218 0.500 0.390
Pr1 Pr 0.000 0.500 0.500
Co1 Co 0.230 0.000 0.168
```

=====

7.
Below is crystalline La2PrCo at its relaxed geometry, with properties calculated at the PBE-GGA level.

formation energy: 0.040 eV per atom
DFT total energy: -21.58 eV for the cell shown
distance to the lowest polymorph of the same formula: 127 meV per atom

The structure in CIF format:
```
data_La2PrCo
_symmetry_space_group_name_H-M 'P 4/m m m'
_symmetry_Int_Tables_number 123
_symmetry_space_group_name_Hall '-P 4 2'
_cell_length_a 3.561
_cell_length_b 3.561
_cell_length_c 9.351
_cell_angle_alpha 90.00
_cell_angle_beta 90.00
_cell_angle_gamma 90.00
loop_
_atom_site_label
_atom_site_type_symbol
_atom_site_fract_x
_atom_site_fract_y
_atom_site_fract_z
La1 La 0.000 0.000 0.174
Pr1 Pr 0.500 0.500 0.500
Co1 Co 0.500 0.500 0.000
```

=====

8.
Below is crystalline La3Pr2Co at its relaxed geometry, with properties calculated at the PBE-GGA level.

formation energy: 0.018 eV per atom
DFT total energy: -125.36 eV for the cell shown

The structure in CIF format:
```
data_La3Pr2Co
_symmetry_space_group_name_H-M 'C 1 2/c 1'
_symmetry_Int_Tables_number 15
_symmetry_space_group_name_Hall '-C 2yc'
_cell_length_a 18.955
_cell_length_b 5.756
_cell_length_c 7.587
_cell_angle_alpha 90.00
_cell_angle_beta 101.66
_cell_angle_gamma 90.00
loop_
_atom_site_label
_atom_site_type_symbol
_atom_site_fract_x
_atom_site_fract_y
_atom_site_fract_z
La1 La 0.000 0.006 0.250
La2 La 0.103 0.499 0.053
Pr1 Pr 0.217 0.001 0.608
Co1 Co 0.000 0.487 0.750
```

=====

9.
Below is crystalline La2PrCo at its relaxed geometry, with properties calculated at the PBE-GGA level.

formation energy: 0.117 eV per atom
DFT total energy: -63.81 eV for the cell shown
distance to the lowest polymorph of the same formula: 204 meV per atom

The structure in CIF format:
```
data_La2PrCo
_symmetry_space_group_name_H-M 'R -3 m'
_symmetry_Int_Tables_number 166
_symmetry_space_group_name_Hall '-R 3 2"'
_cell_length_a 3.8056
_cell_length_b 3.8056
_cell_length_c 31.5451
_cell_angle_alpha 90.00
_cell_angle_beta 90.00
_cell_angle_gamma 120.00
loop_
_atom_site_label
_atom_site_type_symbol
_atom_site_fract_x
_atom_site_fract_y
_atom_site_fract_z
La1 La 0.0000 0.0000 0.1150
Pr1 Pr 0.0000 0.0000 0.0000
Co1 Co 0.0000 0.0000 0.5000
```

=====

10.
Below is crystalline La8Pr2Co3 at its relaxed geometry, with properties calculated at the PBE-GGA level.

formation energy: 0.037 eV per atom
DFT total energy: -139.63 eV for the cell shown

The structure in CIF format:
```
data_La8Pr2Co3
_symmetry_space_group_name_H-M 'C 1 2/m 1'
_symmetry_Int_Tables_number 12
_symmetry_space_group_name_Hall '-C 2y'
_cell_length_a 16.212
_cell_length_b 7.557
_cell_length_c 6.935
_cell_angle_alpha 90.00
_cell_angle_beta 96.50
_cell_angle_gamma 90.00
loop_
_atom_site_label
_atom_site_type_symbol
_atom_site_fract_x
_atom_site_fract_y
_atom_site_fract_z
La1 La 0.077 0.223 0.332
La2 La 0.094 0.500 0.875
La3 La 0.144 0.000 0.888
Pr1 Pr 0.233 0.500 0.523
Co1 Co 0.000 0.183 0.000
Co2 Co 0.000 0.500 0.500
```

=====

11.
Below is crystalline LaPr3Co2 at its relaxed geometry, with properties calculated at the PBE-GGA level.

formation energy: -0.051 eV per atom
DFT total energy: -135.14 eV for the cell shown

The structure in CIF format:
```
data_LaPr3Co2
_symmetry_space_group_name_H-M 'C 1 2/m 1'
_symmetry_Int_Tables_number 12
_symmetry_space_group_name_Hall '-C 2y'
_cell_length_a 17.300
_cell_length_b 3.833
_cell_length_c 12.366
_cell_angle_alpha 90.00
_cell_angle_beta 125.59
_cell_angle_gamma 90.00
loop_
_atom_site_label
_atom_site_type_symbol
_atom_site_fract_x
_atom_site_fract_y
_atom_site_fract_z
La1 La 0.162 0.000 0.266
Pr1 Pr 0.084 0.500 0.445
Pr2 Pr 0.087 0.500 0.949
Pr3 Pr 0.158 0.000 0.751
Co1 Co 0.235 0.000 0.561
Co2 Co 0.236 0.000 0.046
```

=====

12.
Below is crystalline LaPr4Co2 at its relaxed geometry, with properties calculated at the PBE-GGA level.

formation energy: -0.017 eV per atom
DFT total energy: -76.75 eV for the cell shown

The structure in CIF format:
```
data_LaPr4Co2
_symmetry_space_group_name_H-M 'P 1 21/m 1'
_symmetry_Int_Tables_number 11
_symmetry_space_group_name_Hall '-P 2yb'
_cell_length_a 7.035
_cell_length_b 6.890
_cell_length_c 9.105
_cell_angle_alpha 90.00
_cell_angle_beta 112.66
_cell_angle_gamma 90.00
loop_
_atom_site_label
_atom_site_type_symbol
_atom_site_fract_x
_atom_site_fract_y
_atom_site_fract_z
La1 La 0.218 0.250 0.210
Pr1 Pr 0.027 0.250 0.792
Pr2 Pr 0.283 0.502 0.567
Pr3 Pr 0.339 0.750 0.006
Co1 Co 0.031 0.750 0.673
Co2 Co 0.374 0.750 0.341
```